A relaxed structure of InAg2I5. Source: the Alexandria database, functional PBE.

Values from the calculation:
As for the formation energy (no corrections): -0.33 eV/atom. For the energy above the most stable polymorph in this dataset, the calculation gives 0 meV per atom.

```
InAg2I5
1.0
6.800 -4.463 0.000
6.800 4.463 0.000
-3.739 0.000 6.262
In Ag I
1 2 5
direct
0.000 0.000 0.000
0.555 0.908 0.282
0.908 0.555 0.282
0.242 0.242 0.365
0.314 0.753 0.871
0.745 0.745 0.620
0.753 0.314 0.871
0.919 0.919 0.289
```